# 1
This record from Alexandria describes crystalline Zr4InMo at its relaxed geometry. The functional is PBE.

Properties
calculated formation energy: 410 meV/atom
raw total energy: -7.550 eV per atom

Unit cell a=5.6845 b=5.6845 c=5.6845 alpha=60.00 beta=60.00 gamma=60.00
Closest atoms and distances in Å follow each position.
Fractional coordinates of all 6 atoms:
Zr 0.3729 0.8814 0.3729  6 Zr 2.79-2.89
In 0.7500 0.7500 0.7500  12 Zr 3.34, 4 Mo 3.48
Zr 0.3729 0.3729 0.8814  6 Zr 2.79-2.89
Zr 0.3729 0.3729 0.3729  6 Zr 2.79-2.89
Zr 0.8814 0.3729 0.3729  6 Zr 2.79-2.89
Mo 0.0000 0.0000 0.0000  12 Zr 3.33, 4 In 3.48

=====

# 2
This record from Alexandria describes crystalline Zr3InMo at its relaxed geometry. The functional is PBE.

Properties
calculated formation energy: 1630 meV/atom
raw total energy: -6.213 eV per atom

Unit cell a=5.1668 b=5.1668 c=5.1668 alpha=90.00 beta=90.00 gamma=90.00
Closest atoms and distances in Å follow each position.
Fractional coordinates of all 5 atoms:
In 0.0000 0.0000 0.0000  6 Zr 2.58
Zr 0.0000 0.0000 0.5000  2 In 2.58
Zr 0.0000 0.5000 0.0000  2 In 2.58
Mo 0.5000 0.5000 0.5000  12 Zr 3.65
Zr 0.5000 0.0000 0.0000  2 In 2.58